[1]
This record from Alexandria via LeMat-Bulk describes crystalline Mn8O13F3 at its relaxed geometry. The functional is GGA+U.

Calculated values
N(E_F)	4.60	states/eV per cell
magnetization	27.00	μB per cell
polymorph energy (0 for the lowest one)	0.021	eV/atom

Lattice parameters (Å, degrees): 4.997 7.091 7.156 101.44 90.45 90.18
Site moments in Bohr magnetons follow the coordinates.
Sites, in units of the cell vectors:
Mn 0.223 0.081 0.434  3.55
Mn 0.742 0.922 0.586  3.69
Mn 0.776 0.434 0.072  3.45
Mn 0.245 0.068 0.923  3.60
Mn 0.764 0.909 0.071  3.86
Mn 0.729 0.422 0.567  3.59
Mn 0.246 0.582 0.413  3.87
Mn 0.277 0.569 0.933  3.43
O 0.569 0.672 0.558  -0.18
O 0.096 0.327 0.941  -0.15
O 0.076 0.059 0.171  -0.19
O 0.403 0.329 0.439  -0.18
O 0.431 0.826 0.937  -0.19
O 0.901 0.172 0.559  -0.18
O 0.954 0.666 0.064  -0.19
O 0.917 0.440 0.329  -0.21
O 0.593 0.439 0.828  -0.15
O 0.059 0.832 0.441  -0.20
O 0.920 0.940 0.829  -0.23
O 0.452 0.564 0.165  -0.18
O 0.410 0.060 0.672  -0.20
F 0.559 0.944 0.321  0.01
F 0.585 0.181 0.063  0.01
F 0.072 0.560 0.686  0.01

---

[2]
This record from Alexandria via LeMat-Bulk describes crystalline Mn4O7F at its relaxed geometry. The functional is GGA+U.

Calculated values
N(E_F)	6.01	states/eV per cell
magnetization	26.00	μB per cell
polymorph energy (0 for the lowest one)	0.003	eV/atom

Lattice parameters (Å, degrees): 5.493 4.966 10.260 60.82 90.00 90.00
Site moments in Bohr magnetons follow the coordinates.
Sites, in units of the cell vectors:
O 0.390 0.288 0.634  -0.16
O 0.109 0.311 0.116  -0.19
O 0.595 0.705 0.365  -0.19
O 0.105 0.705 0.380  -0.18
O 0.610 0.288 0.134  -0.16
O 0.895 0.705 0.880  -0.18
O 0.118 0.194 0.886  -0.20
O 0.891 0.311 0.616  -0.19
O 0.388 0.783 0.135  -0.17
O 0.382 0.205 0.368  -0.19
O 0.405 0.705 0.865  -0.19
O 0.882 0.194 0.386  -0.20
O 0.612 0.783 0.635  -0.17
O 0.618 0.205 0.868  -0.19
F 0.875 0.802 0.122  0.00
F 0.125 0.802 0.622  0.00
Mn 0.652 0.001 0.745  3.46
Mn 0.833 0.751 0.495  3.71
Mn 0.369 0.483 0.758  3.39
Mn 0.855 0.272 0.995  3.56
Mn 0.631 0.483 0.258  3.39
Mn 0.167 0.751 0.995  3.71
Mn 0.145 0.272 0.495  3.56
Mn 0.348 0.001 0.245  3.46

---

[3]
This record from Alexandria via LeMat-Bulk describes crystalline Mn6O7F5 at its relaxed geometry. The functional is GGA+U.

Calculated values
N(E_F)	3.23	states/eV per cell
magnetization	23.00	μB per cell
polymorph energy (0 for the lowest one)	0.006	eV/atom

Lattice parameters (Å, degrees): 4.713 4.713 9.154 90.00 90.00 96.49
Site moments in Bohr magnetons follow the coordinates.
Sites, in units of the cell vectors:
F 0.777 0.223 0.167  0.01
F 0.196 0.804 0.502  0.07
F 0.196 0.804 0.831  0.07
F 0.821 0.179 0.842  0.03
F 0.821 0.179 0.491  0.03
O 0.315 0.291 0.667  -0.10
O 0.685 0.705 0.002  -0.12
O 0.192 0.808 0.167  -0.18
O 0.295 0.315 0.331  -0.12
O 0.685 0.705 0.331  -0.12
O 0.709 0.685 0.667  -0.10
O 0.295 0.315 0.002  -0.12
Mn 0.504 0.496 0.834  3.93
Mn 0.011 0.989 0.325  3.90
Mn 0.504 0.496 0.499  3.93
Mn 0.011 0.989 0.008  3.90
Mn 0.481 0.519 0.167  3.49
Mn 0.002 0.998 0.667  3.94

---

[4]
This record from Alexandria via LeMat-Bulk describes crystalline Mn3O4F2 at its relaxed geometry. The functional is GGA+U.

Calculated values
N(E_F)	2.79	states/eV per cell
magnetization	22.00	μB per cell
polymorph energy (0 for the lowest one)	0.000	eV/atom

Lattice parameters (Å, degrees): 3.042 4.664 14.066 90.00 90.00 90.00
Site moments in Bohr magnetons follow the coordinates.
Sites, in units of the cell vectors:
F 0.500 0.356 0.111  0.01
F 0.500 0.644 0.889  0.01
F 0.000 0.856 0.389  0.01
F 0.000 0.144 0.611  0.01
Mn 0.000 0.583 0.174  3.70
Mn 0.500 0.917 0.674  3.70
Mn 0.000 0.417 0.826  3.70
Mn 0.500 0.083 0.326  3.70
Mn 0.000 0.500 0.500  3.97
Mn 0.500 0.000 0.000  3.97
O 0.500 0.773 0.231  -0.20
O 0.500 0.680 0.564  -0.12
O 0.000 0.820 0.064  -0.12
O 0.500 0.320 0.436  -0.12
O 0.500 0.227 0.769  -0.20
O 0.000 0.180 0.936  -0.12
O 0.000 0.727 0.731  -0.20
O 0.000 0.273 0.269  -0.20

---

[5]
This record from Alexandria via LeMat-Bulk describes crystalline Mn6O5F7 at its relaxed geometry. The functional is GGA+U.

Calculated values
N(E_F)	1.70	states/eV per cell
magnetization	25.00	μB per cell
polymorph energy (0 for the lowest one)	0.025	eV/atom

Lattice parameters (Å, degrees): 4.700 5.729 7.927 85.83 89.34 88.11
Site moments in Bohr magnetons follow the coordinates.
Sites, in units of the cell vectors:
Mn 0.539 0.159 0.347  4.23
Mn 0.499 0.833 0.669  4.09
Mn 0.012 0.672 0.309  4.07
Mn 0.986 0.004 0.012  4.02
Mn 0.974 0.340 0.681  4.37
Mn 0.473 0.491 0.985  4.07
O 0.791 0.288 0.910  -0.16
O 0.204 0.715 0.094  -0.13
O 0.804 0.953 0.231  -0.14
O 0.696 0.117 0.574  -0.20
O 0.310 0.550 0.760  -0.16
F 0.795 0.629 0.530  0.03
F 0.688 0.466 0.215  0.05
F 0.304 0.200 0.128  0.05
F 0.287 0.873 0.452  0.05
F 0.212 0.044 0.796  0.04
F 0.723 0.788 0.877  0.05
F 0.202 0.378 0.427  0.00

---

[6]
This record from Alexandria via LeMat-Bulk describes crystalline Mn3O4F2 at its relaxed geometry. The functional is GGA+U.

Calculated values
N(E_F)	1.73	states/eV per cell
magnetization	22.00	μB per cell
polymorph energy (0 for the lowest one)	0.009	eV/atom

Lattice parameters (Å, degrees): 5.511 5.554 7.208 73.47 72.66 72.42
Site moments in Bohr magnetons follow the coordinates.
Sites, in units of the cell vectors:
O 0.560 0.549 0.133  -0.17
O 0.646 0.000 0.172  -0.15
O 0.691 0.308 0.499  -0.16
O 0.440 0.451 0.867  -0.17
O 0.107 0.092 0.207  -0.16
O 0.309 0.692 0.501  -0.16
O 0.893 0.908 0.793  -0.16
O 0.354 0.000 0.828  -0.15
F 0.025 0.602 0.181  0.01
F 0.975 0.398 0.819  0.01
F 0.241 0.242 0.472  0.02
F 0.759 0.758 0.528  0.02
Mn 0.000 0.000 0.000  4.03
Mn 0.644 0.702 0.842  3.85
Mn 0.645 0.650 0.328  3.51
Mn 0.356 0.298 0.158  3.85
Mn 0.000 0.000 0.500  4.00
Mn 0.355 0.350 0.672  3.51

---

[7]
This record from Alexandria via LeMat-Bulk describes crystalline MnO2F2 at its relaxed geometry. The functional is GGA+U.

Calculated values
final energy	-22.3	eV/cell
N(E_F)	1.14	states/eV per cell
magnetization	5.00	μB per cell

Lattice parameters (Å, degrees): 3.798 3.798 3.679 90.00 90.00 90.00
Site moments in Bohr magnetons follow the coordinates.
Sites, in units of the cell vectors:
O 0.000 0.000 0.500  0.00
O 0.000 0.000 0.000  0.01
Mn 0.500 0.500 0.500  4.72
F 0.000 0.500 0.000  0.02
F 0.500 0.000 0.000  0.02

---

[8]
This record from Alexandria via LeMat-Bulk describes crystalline Mn3O4F2 at its relaxed geometry. The functional is GGA+U.

Calculated values
N(E_F)	3.96	states/eV per cell
magnetization	22.00	μB per cell
polymorph energy (0 for the lowest one)	0.021	eV/atom

Lattice parameters (Å, degrees): 4.600 4.611 10.330 63.54 90.00 90.00
Site moments in Bohr magnetons follow the coordinates.
Sites, in units of the cell vectors:
Mn 0.479 0.310 0.160  3.68
Mn 0.000 0.000 0.000  4.08
Mn 0.521 0.690 0.840  3.68
Mn 0.500 0.000 0.500  4.08
Mn 0.979 0.690 0.340  3.68
Mn 0.021 0.310 0.660  3.68
O 0.308 0.691 0.001  -0.18
O 0.674 0.979 0.330  -0.16
O 0.192 0.691 0.501  -0.18
O 0.326 0.021 0.670  -0.16
O 0.826 0.979 0.830  -0.16
O 0.808 0.309 0.499  -0.18
O 0.174 0.021 0.170  -0.16
O 0.692 0.309 0.999  -0.18
F 0.225 0.381 0.821  0.01
F 0.775 0.619 0.179  0.01
F 0.725 0.619 0.679  0.01
F 0.275 0.381 0.321  0.01

---

[9]
This record from Alexandria via LeMat-Bulk describes crystalline Mn6O5F7 at its relaxed geometry. The functional is GGA+U.

Calculated values
magnetization	19.00	μB per cell
polymorph energy (0 for the lowest one)	0.089	eV/atom

Lattice parameters (Å, degrees): 4.838 5.752 7.890 84.71 85.61 84.15
Site moments in Bohr magnetons follow the coordinates.
Sites, in units of the cell vectors:
O 0.288 0.453 0.232  -0.06
O 0.701 0.206 0.105  -0.10
O 0.700 0.532 0.790  -0.13
O 0.833 0.054 0.780  -0.14
O 0.703 0.882 0.416  -0.06
F 0.297 0.143 0.555  0.01
F 0.299 0.793 0.906  0.00
F 0.806 0.695 0.110  0.05
F 0.146 0.621 0.557  0.01
F 0.223 0.287 0.895  0.09
F 0.182 0.941 0.218  0.02
F 0.789 0.389 0.433  0.06
Mn 0.984 0.008 0.998  4.04
Mn 0.503 0.166 0.322  3.96
Mn 0.586 0.849 0.670  4.51
Mn 0.988 0.662 0.328  -1.88
Mn 0.975 0.335 0.677  4.06
Mn 0.495 0.485 0.008  4.00

---

[10]
This record from Alexandria via LeMat-Bulk describes crystalline Mn3OF5 at its relaxed geometry. The functional is GGA+U.

Calculated values
N(E_F)	3.35	states/eV per cell
magnetization	28.00	μB per cell
polymorph energy (0 for the lowest one)	0.024	eV/atom

Lattice parameters (Å, degrees): 5.856 5.856 7.577 73.47 73.47 73.71
Site moments in Bohr magnetons follow the coordinates.
Sites, in units of the cell vectors:
Mn 0.667 0.667 0.318  4.54
Mn 0.679 0.679 0.848  4.55
Mn 0.000 0.000 0.000  4.09
Mn 0.333 0.333 0.682  4.54
Mn 0.000 0.000 0.500  4.67
Mn 0.321 0.321 0.152  4.55
F 0.908 0.908 0.290  0.04
F 0.306 0.694 0.000  0.04
F 0.366 0.967 0.336  0.04
F 0.694 0.306 0.000  0.04
F 0.092 0.092 0.710  0.04
F 0.033 0.634 0.664  0.04
F 0.424 0.424 0.375  0.03
F 0.634 0.033 0.664  0.04
F 0.576 0.576 0.625  0.03
F 0.967 0.366 0.336  0.04
O 0.785 0.785 0.036  -0.14
O 0.215 0.215 0.964  -0.14

---

[11]
This record from Alexandria via LeMat-Bulk describes crystalline Mn2O3F at its relaxed geometry. The functional is GGA+U.

Calculated values
N(E_F)	2.86	states/eV per cell
magnetization	28.00	μB per cell
polymorph energy (0 for the lowest one)	0.004	eV/atom

Lattice parameters (Å, degrees): 5.494 5.494 8.773 88.04 88.04 74.51
Site moments in Bohr magnetons follow the coordinates.
Sites, in units of the cell vectors:
O 0.468 0.476 0.720  -0.14
O 0.975 0.970 0.222  -0.14
O 0.713 0.731 0.474  -0.13
O 0.786 0.770 0.031  -0.14
O 0.030 0.025 0.778  -0.14
O 0.315 0.685 0.000  -0.15
O 0.196 0.804 0.500  -0.24
O 0.938 0.558 0.749  -0.19
O 0.230 0.214 0.969  -0.14
O 0.524 0.532 0.280  -0.14
O 0.269 0.287 0.526  -0.13
O 0.442 0.062 0.251  -0.19
Mn 0.483 0.517 0.500  3.54
Mn 0.374 0.376 0.124  3.94
Mn 0.891 0.858 0.626  3.71
Mn 0.730 0.769 0.251  3.50
Mn 0.028 0.972 0.000  3.47
Mn 0.142 0.109 0.374  3.71
Mn 0.624 0.626 0.876  3.94
Mn 0.231 0.270 0.749  3.50
F 0.724 0.276 0.000  0.02
F 0.809 0.191 0.500  -0.01
F 0.031 0.453 0.257  0.01
F 0.547 0.969 0.743  0.01

---

[12]
This record from Alexandria via LeMat-Bulk describes crystalline Mn4O7F at its relaxed geometry. The functional is GGA+U.

Calculated values
N(E_F)	2.85	states/eV per cell
magnetization	26.00	μB per cell
polymorph energy (0 for the lowest one)	0.000	eV/atom

Lattice parameters (Å, degrees): 8.955 4.969 5.483 89.84 90.00 90.00
Site moments in Bohr magnetons follow the coordinates.
Sites, in units of the cell vectors:
O 0.512 0.918 0.617  -0.21
O 0.488 0.918 0.117  -0.21
O 0.238 0.574 0.608  -0.15
O 0.745 0.578 0.613  -0.20
O 0.486 0.417 0.902  -0.21
O 0.997 0.925 0.102  -0.14
O 0.237 0.077 0.392  -0.14
O 0.762 0.574 0.108  -0.15
O 0.514 0.417 0.402  -0.21
O 0.255 0.578 0.113  -0.20
O 0.005 0.428 0.382  -0.17
O 0.763 0.077 0.892  -0.14
O 0.003 0.925 0.602  -0.14
O 0.995 0.428 0.882  -0.17
Mn 0.885 0.254 0.129  3.35
Mn 0.125 0.752 0.352  3.34
Mn 0.623 0.740 0.357  3.62
Mn 0.875 0.752 0.852  3.34
Mn 0.115 0.254 0.629  3.35
Mn 0.376 0.254 0.171  3.74
Mn 0.377 0.740 0.857  3.62
Mn 0.624 0.254 0.671  3.74
F 0.750 0.081 0.375  0.01
F 0.250 0.081 0.875  0.01

---

[13]
This record from Alexandria via LeMat-Bulk describes crystalline MnO2F2 at its relaxed geometry. The functional is GGA+U.

Calculated values
final energy	-20.9	eV/cell
N(E_F)	1.41	states/eV per cell
magnetization	4.83	μB per cell

Lattice parameters (Å, degrees): 3.490 3.490 4.551 90.00 90.00 90.00
Site moments in Bohr magnetons follow the coordinates.
Sites, in units of the cell vectors:
F 0.000 0.000 0.000  0.00
F 0.000 0.000 0.500  0.03
O 0.500 0.000 0.000  -0.06
O 0.000 0.500 0.000  -0.06
Mn 0.500 0.500 0.500  4.72

---

[14]
This record from Alexandria via LeMat-Bulk describes crystalline Mn6O7F5 at its relaxed geometry. The functional is GGA+U.

Calculated values
N(E_F)	1.50	states/eV per cell
magnetization	23.00	μB per cell
polymorph energy (0 for the lowest one)	0.006	eV/atom

Lattice parameters (Å, degrees): 9.120 4.757 4.761 84.32 90.00 90.00
Site moments in Bohr magnetons follow the coordinates.
Sites, in units of the cell vectors:
O 0.656 0.828 0.819  -0.14
O 0.834 0.298 0.697  -0.11
O 0.500 0.326 0.701  -0.13
O 0.832 0.686 0.306  -0.10
O 0.168 0.686 0.306  -0.10
O 0.166 0.298 0.697  -0.11
O 0.344 0.828 0.819  -0.14
F 0.651 0.200 0.192  0.04
F 0.500 0.715 0.310  0.00
F 0.349 0.200 0.192  0.04
F 0.000 0.158 0.170  0.01
F 0.000 0.790 0.800  0.08
Mn 0.500 0.018 0.971  3.42
Mn 0.825 0.980 0.989  3.96
Mn 0.000 0.487 0.493  3.95
Mn 0.175 0.980 0.989  3.96
Mn 0.325 0.511 0.524  3.92
Mn 0.675 0.511 0.524  3.92

---

[15]
This record from Alexandria via LeMat-Bulk describes crystalline MnO2F8 at its relaxed geometry. The functional is GGA+U.

Calculated values
final energy	-83.0	eV/cell
magnetization	13.85	μB per cell

Lattice parameters (Å, degrees): 6.121 7.655 8.327 82.40 68.44 66.44
Site moments in Bohr magnetons follow the coordinates.
Sites, in units of the cell vectors:
F 0.833 0.926 0.190  0.22
F 0.255 0.649 0.030  0.14
F 0.745 0.351 0.970  0.14
F 0.949 0.574 0.310  0.22
F 0.268 0.918 0.192  0.14
F 0.771 0.715 0.963  0.23
F 0.066 0.149 0.530  0.14
F 0.167 0.074 0.810  0.22
F 0.551 0.215 0.463  0.23
F 0.934 0.851 0.470  0.14
F 0.622 0.418 0.692  0.14
F 0.378 0.582 0.308  0.14
F 0.449 0.785 0.537  0.23
F 0.732 0.082 0.808  0.14
F 0.051 0.426 0.690  0.22
F 0.229 0.285 0.037  0.23
O 0.672 0.686 0.557  1.02
O 0.084 0.186 0.057  1.02
O 0.328 0.314 0.443  1.02
O 0.916 0.814 0.943  1.02
Mn 0.891 0.250 0.750  2.96
Mn 0.109 0.750 0.250  2.96

---

[16]
This record from Alexandria via LeMat-Bulk describes crystalline Mn4O7F at its relaxed geometry. The functional is GGA+U.

Calculated values
N(E_F)	2.09	states/eV per cell
magnetization	13.00	μB per cell
polymorph energy (0 for the lowest one)	0.005	eV/atom

Lattice parameters (Å, degrees): 4.483 4.958 5.500 89.72 88.43 89.53
Site moments in Bohr magnetons follow the coordinates.
Sites, in units of the cell vectors:
O 0.266 0.423 0.391  -0.18
O 0.767 0.081 0.890  -0.20
O 0.740 0.074 0.391  -0.16
O 0.235 0.425 0.890  -0.18
O 0.723 0.567 0.605  -0.20
O 0.768 0.583 0.113  -0.14
O 0.270 0.920 0.610  -0.14
Mn 0.497 0.244 0.644  3.38
Mn 0.509 0.742 0.362  3.43
Mn 0.993 0.747 0.834  3.77
Mn 0.989 0.264 0.145  3.45
F 0.243 0.931 0.124  0.01